# 1
# Zr2GeAs

An optimized crystal structure of Zr2GeAs (PBE-GGA, Alexandria via LeMat-Bulk).

Results
ΔH_f (0 K) ... -220.9 kJ/mol of formula units
Raw total energy ... -7.16 eV per atom
Relative energy among the computed polymorphs ... 0.3569 eV/atom
Crystal system ... cubic

a b c (Å): 6.7541 6.7541 6.7541
angles (deg): 90.00 90.00 90.00
Space group Fm-3m (No. 225)
Inequivalent atoms, fractional coordinates:
Zr 0.2500 0.2500 0.2500 [8 per cell]
Ge 0.0000 0.0000 0.0000 [4 per cell]
As 0.0000 0.0000 0.5000 [4 per cell]



# 2
# ZrGeAs

An optimized crystal structure of ZrGeAs (PBE-GGA, Alexandria via LeMat-Bulk).

Results
ΔH_f (0 K) ... -201.2 kJ/mol of formula units
Raw total energy ... -6.63 eV per atom
Crystal system ... orthorhombic

a b c (Å): 6.6905 3.6664 9.4311
angles (deg): 90.00 90.00 90.00
Space group Pnma (No. 62)
Inequivalent atoms, fractional coordinates:
Zr 0.2244 0.2500 0.1620 [4 per cell]
Ge 0.1231 0.2500 0.4564 [4 per cell]
As 0.1034 0.2500 0.8511 [4 per cell]



> What is the formula in the second record?

ZrGeAs



> The lowest raw total energy belongs to which entry?

Zr2GeAs



> Among the records above, which one has the highest raw total energy?

ZrGeAs



> The highest raw total energy belongs to which entry?

ZrGeAs